No. 1
DFT (SCAN) results for a crystal of ZrOsBr2 relaxed with PBEsol.

## Properties
Density of states at the Fermi level (states/eV per atom): 0.890
Volume (Å³ per cell): 85.9
Offset from the most stable computed form (meV/atom): 173
E (hartree per atom): -1.307

Geometry as CIF:
```
data_ZrOsBr2
_cell_length_a 3.1689
_cell_length_b 3.1689
_cell_length_c 8.5551
_cell_angle_alpha 90.00
_cell_angle_beta 90.00
_cell_angle_gamma 90.00
_space_group_name_H-M_alt 'P 4 m m'
_space_group_IT_number 99
loop_
_space_group_symop_operation_xyz
'x,y,z'
'-y,x,z'
'-x,-y,z'
'y,-x,z'
'-x,y,z'
'y,x,z'
'x,-y,z'
'-y,-x,z'
loop_
_atom_site_label
_atom_site_type_symbol
_atom_site_fract_x
_atom_site_fract_y
_atom_site_fract_z
Zr1 Zr 0.0000 0.0000 0.0000
Os1 Os 0.5000 0.5000 0.8123
Br1 Br 0.0000 0.0000 0.5981
Br2 Br 0.5000 0.5000 0.2255
```

***

No. 2
DFT (SCAN) results for a crystal of Li2ScFe relaxed with PBEsol.

## Properties
Density of states at the Fermi level (states/eV per atom): 0.623
Volume (Å³ per cell): 61.5
Calculated formation energy (meV/atom): 387
E (hartree per atom): -0.327

Geometry as CIF:
```
data_Li2ScFe
_cell_length_a 3.3902
_cell_length_b 3.3902
_cell_length_c 5.3546
_cell_angle_alpha 90.00
_cell_angle_beta 90.00
_cell_angle_gamma 90.00
_space_group_name_H-M_alt 'P 4/m m m'
_space_group_IT_number 123
_space_group_name_Hall '-P 4 2'
loop_
_atom_site_label
_atom_site_type_symbol
_atom_site_fract_x
_atom_site_fract_y
_atom_site_fract_z
Li1 Li 0.0000 0.0000 0.2090
Sc1 Sc 0.5000 0.5000 0.5000
Fe1 Fe 0.5000 0.5000 0.0000
```

***

No. 3
DFT (SCAN) results for a crystal of Li2TcW relaxed with PBEsol.

## Properties
Density of states at the Fermi level (states/eV per atom): 0.851
Volume (Å³ per cell): 217.2
Calculated formation energy (meV/atom): 386
Offset from the most stable computed form (meV/atom): 112
E (hartree per atom): -0.992

Geometry as CIF:
```
data_Li2TcW
_cell_length_a 6.0108
_cell_length_b 6.0108
_cell_length_c 6.0108
_cell_angle_alpha 90.00
_cell_angle_beta 90.00
_cell_angle_gamma 90.00
_space_group_name_H-M_alt 'F -4 3 m'
_space_group_IT_number 216
_space_group_name_Hall 'F -4 2 3'
loop_
_atom_site_label
_atom_site_type_symbol
_atom_site_fract_x
_atom_site_fract_y
_atom_site_fract_z
Li1 Li 0.0000 0.0000 0.0000
Li2 Li 0.2500 0.2500 0.2500
Tc1 Tc 0.0000 0.0000 0.5000
W1 W 0.2500 0.2500 0.7500
```

***

No. 4
DFT (SCAN) results for a crystal of NaCdPdBr2 relaxed with PBEsol.

## Properties
Density of states at the Fermi level (states/eV per atom): 0.315
Volume (Å³ per cell): 138.5
E (hartree per atom): -0.794

Geometry as CIF:
```
data_NaCdPdBr2
_cell_length_a 5.0385
_cell_length_b 5.0385
_cell_length_c 5.4560
_cell_angle_alpha 90.00
_cell_angle_beta 90.00
_cell_angle_gamma 90.00
_space_group_name_H-M_alt 'P 4/m m m'
_space_group_IT_number 123
_space_group_name_Hall '-P 4 2'
loop_
_atom_site_label
_atom_site_type_symbol
_atom_site_fract_x
_atom_site_fract_y
_atom_site_fract_z
Na1 Na 0.0000 0.0000 0.0000
Cd1 Cd 0.5000 0.5000 0.0000
Pd1 Pd 0.0000 0.0000 0.5000
Br1 Br 0.0000 0.5000 0.5000
```

***

No. 5
DFT (SCAN) results for a crystal of Ag2TeRu relaxed with PBEsol.

## Properties
Density of states at the Fermi level (states/eV per atom): 0.653
Volume (Å³ per cell): 138.5
E (hartree per atom): -1.224

Geometry as CIF:
```
data_Ag2TeRu
_cell_length_a 3.9863
_cell_length_b 4.2721
_cell_length_c 8.1325
_cell_angle_alpha 90.00
_cell_angle_beta 90.00
_cell_angle_gamma 90.00
_space_group_name_H-M_alt 'I m m 2'
_space_group_IT_number 44
loop_
_space_group_symop_operation_xyz
'x,y,z'
'-x,-y,z'
'-x,y,z'
'x,-y,z'
'x+1/2,y+1/2,z+1/2'
'-x+1/2,-y+1/2,z+1/2'
'-x+1/2,y+1/2,z+1/2'
'x+1/2,-y+1/2,z+1/2'
loop_
_atom_site_label
_atom_site_type_symbol
_atom_site_fract_x
_atom_site_fract_y
_atom_site_fract_z
Ag1 Ag 0.0000 0.0000 0.0000
Ag2 Ag 0.0000 0.5000 0.2395
Te1 Te 0.0000 0.5000 0.7594
Ru1 Ru 0.0000 0.0000 0.4808
```

***

No. 6
DFT (SCAN) results for a crystal of ScWSeN2 relaxed with PBEsol.

## Properties
Density of states at the Fermi level (states/eV per atom): 0.443
Volume (Å³ per cell): 77.0
E (hartree per atom): -0.912

Geometry as CIF:
```
data_ScWSeN2
_cell_length_a 3.9007
_cell_length_b 3.9007
_cell_length_c 5.0585
_cell_angle_alpha 90.00
_cell_angle_beta 90.00
_cell_angle_gamma 90.00
_space_group_name_H-M_alt 'P 4/m m m'
_space_group_IT_number 123
_space_group_name_Hall '-P 4 2'
loop_
_atom_site_label
_atom_site_type_symbol
_atom_site_fract_x
_atom_site_fract_y
_atom_site_fract_z
Sc1 Sc 0.0000 0.0000 0.0000
W1 W 0.5000 0.5000 0.5000
Se1 Se 0.5000 0.5000 0.0000
N1 N 0.0000 0.5000 0.5000
```

***

No. 7
DFT (SCAN) results for a crystal of UNi5Ge3 relaxed with PBEsol.

## Properties
Density of states at the Fermi level (states/eV per atom): 1.331
Volume (Å³ per cell): 482.4
Calculated formation energy (meV/atom): -351
E (hartree per atom): -1.000

Geometry as CIF:
```
data_UNi5Ge3
_cell_length_a 18.7997
_cell_length_b 3.8445
_cell_length_c 6.6743
_cell_angle_alpha 90.00
_cell_angle_beta 90.00
_cell_angle_gamma 90.00
_space_group_name_H-M_alt 'P n m a'
_space_group_IT_number 62
loop_
_space_group_symop_operation_xyz
'x,y,z'
'-x,-y,-z'
'-x+1/2,-y,z+1/2'
'x+1/2,y,-z+1/2'
'x+1/2,-y+1/2,-z+1/2'
'-x+1/2,y+1/2,z+1/2'
'-x,y+1/2,-z'
'x,-y+1/2,z'
loop_
_atom_site_label
_atom_site_type_symbol
_atom_site_fract_x
_atom_site_fract_y
_atom_site_fract_z
U1 U 0.1452 0.2500 0.1203
Ni1 Ni 0.0040 0.7500 0.1332
Ni2 Ni 0.0152 0.2500 0.3824
Ni3 Ni 0.1097 0.2500 0.6461
Ni4 Ni 0.2002 0.7500 0.8019
Ni5 Ni 0.2114 0.7500 0.4089
Ge1 Ge 0.0755 0.7500 0.8526
Ge2 Ge 0.0879 0.7500 0.4089
Ge3 Ge 0.2326 0.2500 0.6018
```

***

No. 8
DFT (SCAN) results for a crystal of BaLiTl2 relaxed with PBEsol.

## Properties
Density of states at the Fermi level (states/eV per atom): 0.494
Volume (Å³ per cell): 110.5
Calculated formation energy (meV/atom): -421
E (hartree per atom): -1.730

Geometry as CIF:
```
data_BaLiTl2
_cell_length_a 3.6837
_cell_length_b 3.6837
_cell_length_c 8.1415
_cell_angle_alpha 90.00
_cell_angle_beta 90.00
_cell_angle_gamma 90.00
_space_group_name_H-M_alt 'P 4/m m m'
_space_group_IT_number 123
_space_group_name_Hall '-P 4 2'
loop_
_atom_site_label
_atom_site_type_symbol
_atom_site_fract_x
_atom_site_fract_y
_atom_site_fract_z
Ba1 Ba 0.0000 0.0000 0.0000
Li1 Li 0.0000 0.0000 0.5000
Tl1 Tl 0.5000 0.5000 0.3074
```